The following is a DFT calculation (PBE-GGA) of crystalline DyTa4Te8 at its relaxed geometry.

Results
The uncorrected formation energy is -0.3474 eV per atom.

The structure in POSCAR format:
```
DyTa4Te8
1.0
3.800 2.194 7.461
-3.800 2.194 7.461
0.000 -4.388 7.461
Dy Ta Te
1 4 8
direct
0.000 0.000 0.000
0.000 0.000 0.500
0.000 0.500 0.000
0.500 0.000 0.000
0.500 0.500 0.500
0.246 0.246 0.246
0.256 0.741 0.741
0.259 0.259 0.744
0.259 0.744 0.259
0.741 0.256 0.741
0.741 0.741 0.256
0.744 0.259 0.259
0.754 0.754 0.754
```

=====

The following is a DFT calculation (PBE-GGA) of crystalline DyTaTe at its relaxed geometry.

Results
The uncorrected formation energy is -0.1249 eV per atom.

The structure in POSCAR format:
```
DyTaTe
1.0
3.534 0.000 0.000
-1.767 3.060 0.000
0.000 0.000 13.599
Dy Ta Te
2 2 2
direct
0.000 0.000 0.177
0.000 0.000 0.823
0.000 0.000 0.500
0.333 0.667 0.000
0.333 0.667 0.360
0.333 0.667 0.640
```

=====

The following is a DFT calculation (PBE-GGA) of crystalline DyTaTe2 at its relaxed geometry.

Results
The uncorrected formation energy is -0.1884 eV per atom.

The structure in POSCAR format:
```
DyTaTe2
1.0
3.634 0.000 0.000
-1.817 3.147 0.000
0.000 0.000 29.838
Dy Ta Te
3 3 6
direct
0.000 0.000 0.000
0.333 0.667 0.667
0.667 0.333 0.333
0.000 0.000 0.500
0.333 0.667 0.167
0.667 0.333 0.833
0.000 0.000 0.104
0.000 0.000 0.896
0.333 0.667 0.563
0.333 0.667 0.771
0.667 0.333 0.229
0.667 0.333 0.437
```

=====

The following is a DFT calculation (PBE-GGA) of crystalline DyTh2Ta at its relaxed geometry.

Results
The formation enthalpy at 0 K is 0.6140 eV/atom.

The structure in POSCAR format:
```
DyTh2Ta
1.0
3.306 0.000 0.000
-1.653 2.863 0.000
0.000 0.000 36.184
Dy Th Ta
3 6 3
direct
0.000 0.000 0.000
0.333 0.667 0.667
0.667 0.333 0.333
0.000 0.000 0.419
0.000 0.000 0.581
0.333 0.667 0.086
0.333 0.667 0.248
0.667 0.333 0.752
0.667 0.333 0.914
0.000 0.000 0.500
0.333 0.667 0.167
0.667 0.333 0.833
```

=====

The following is a DFT calculation (PBE-GGA) of crystalline DyThTa4 at its relaxed geometry.

Results
The formation enthalpy at 0 K is 0.1357 eV/atom.

The structure in POSCAR format:
```
DyThTa4
1.0
0.000 4.058 4.058
4.058 0.000 4.058
4.058 4.058 0.000
Dy Th Ta
1 1 4
direct
0.000 0.000 0.000
0.250 0.250 0.250
0.124 0.625 0.625
0.625 0.124 0.625
0.625 0.625 0.124
0.625 0.625 0.625
```

=====

The following is a DFT calculation (PBE-GGA) of crystalline DyTaTi2 at its relaxed geometry.

Results
The formation enthalpy at 0 K is 0.1264 eV/atom.

The structure in POSCAR format:
```
DyTaTi2
1.0
3.479 0.000 0.000
0.000 3.479 0.000
0.000 0.000 6.833
Dy Ta Ti
1 1 2
direct
0.000 0.000 0.000
0.000 0.000 0.500
0.500 0.500 0.302
0.500 0.500 0.698
```

=====

The following is a DFT calculation (PBE-GGA) of crystalline Dy2TaTl at its relaxed geometry.

Results
The formation enthalpy at 0 K is 0.5254 eV/atom.

The structure in POSCAR format:
```
Dy2TaTl
1.0
3.231 0.000 0.000
-1.616 2.798 0.000
0.000 0.000 34.522
Dy Ta Tl
6 3 3
direct
0.000 0.000 0.086
0.000 0.000 0.914
0.333 0.667 0.581
0.333 0.667 0.753
0.667 0.333 0.247
0.667 0.333 0.419
0.000 0.000 0.000
0.333 0.667 0.667
0.667 0.333 0.333
0.000 0.000 0.500
0.333 0.667 0.167
0.667 0.333 0.833
```

=====

The following is a DFT calculation (PBE-GGA) of crystalline Dy2TaZn at its relaxed geometry.

Results
The formation enthalpy at 0 K is 0.5318 eV/atom.

The structure in POSCAR format:
```
Dy2TaZn
1.0
3.150 0.000 0.000
-1.575 2.728 0.000
0.000 0.000 33.080
Dy Ta Zn
6 3 3
direct
0.000 0.000 0.092
0.000 0.000 0.908
0.333 0.667 0.575
0.333 0.667 0.759
0.667 0.333 0.241
0.667 0.333 0.425
0.000 0.000 0.000
0.333 0.667 0.667
0.667 0.333 0.333
0.000 0.000 0.500
0.333 0.667 0.167
0.667 0.333 0.833
```